DFT (GGA-PBE) results for a geometry-optimized EuTmZr structure.

Cell lengths 3.4385, 3.4385, 8.6176 Å; angles 90.00, 90.00, 120.00 degrees
Site moments in Bohr magnetons follow the coordinates.
Sites, in units of the cell vectors:
Eu  0.0000  0.0000  0.0146  7.00
Tm  0.3333  0.6667  0.6395  0.06
Zr  0.6667  0.3333  0.3458  0.00

Properties
DFT formation energy	16	kJ/mol of atoms
distance to the lowest polymorph of the same formula	19.7	meV per atom
spin magnetization	2.506	μB/atom

DFT (GGA-PBE) results for a geometry-optimized EuTm2Zr structure.

Cell lengths 3.4625, 3.4625, 11.6336 Å; angles 81.44, 81.44, 60.00 degrees
Site moments in Bohr magnetons follow the coordinates.
Sites, in units of the cell vectors:
Eu  0.5000  0.5000  0.5000  7.03
Tm  0.7419  0.7419  0.7742  0.03
Tm  0.2581  0.2581  0.2258  0.03
Zr  0.0000  0.0000  0.0000  -0.02

Properties
DFT formation energy	11	kJ/mol of atoms
distance to the lowest polymorph of the same formula	24.1	meV per atom
spin magnetization	1.882	μB/atom

DFT (GGA-PBE) results for a geometry-optimized Eu3U structure.

Cell lengths 5.9286, 5.9286, 5.9286 Å; angles 60.00, 60.00, 60.00 degrees
Site moments in Bohr magnetons follow the coordinates.
Sites, in units of the cell vectors:
Eu  0.2500  0.2500  0.2500  -6.82
Eu  0.7500  0.7500  0.7500  -6.82
Eu  0.5000  0.5000  0.5000  -6.88
U  0.0000  0.0000  0.0000  2.74

Properties
DFT formation energy	65	kJ/mol of atoms
spin magnetization	4.542	μB/atom

DFT (GGA-PBE) results for a geometry-optimized Eu3V structure.

Cell lengths 5.7499, 5.7499, 5.7499 Å; angles 120.52, 120.52, 89.10 degrees
Site moments in Bohr magnetons follow the coordinates.
Sites, in units of the cell vectors:
Eu  0.7500  0.2500  0.5000  7.02
Eu  0.2500  0.7500  0.5000  7.02
Eu  0.5000  0.5000  0.0000  7.04
V  0.0000  0.0000  0.0000  2.87

Properties
DFT formation energy	47	kJ/mol of atoms
spin magnetization	6.603	μB/atom

DFT (GGA-PBE) results for a geometry-optimized Eu6Y structure.

Cell lengths 7.2102, 7.2102, 7.2102 Å; angles 109.47, 109.47, 109.47 degrees
Site moments in Bohr magnetons follow the coordinates.
Sites, in units of the cell vectors:
Eu  0.2500  0.7500  0.5000  7.08
Eu  0.5000  0.7500  0.2500  7.08
Eu  0.2500  0.5000  0.7500  7.08
Eu  0.7500  0.2500  0.5000  7.08
Eu  0.5000  0.2500  0.7500  7.08
Eu  0.7500  0.5000  0.2500  7.08
Y  0.0000  0.0000  0.0000  0.05

Properties
DFT formation energy	108	kJ/mol of atoms
spin magnetization	6.363	μB/atom

DFT (GGA-PBE) results for a geometry-optimized EuY2Zn structure.

Cell lengths 3.5971, 3.5971, 11.4686 Å; angles 80.98, 80.98, 60.00 degrees
Site moments in Bohr magnetons follow the coordinates.
Sites, in units of the cell vectors:
Eu  0.0000  0.0000  0.0000  7.05
Y  0.1032  0.1032  0.6903  0.03
Y  0.8968  0.8968  0.3097  0.03
Zn  0.5000  0.5000  0.5000  0.00

Properties
DFT formation energy	9	kJ/mol of atoms
distance to the lowest polymorph of the same formula	216.0	meV per atom
spin magnetization	1.915	μB/atom